1.
Here is a geometry-optimized GdCdInHg structure from Alexandria. Energies are from PBE-GGA.

Lattice parameters (Å, degrees): 5.180 5.180 5.180 60.00 60.00 60.00
Sites, in units of the cell vectors:
Gd  0.000  0.000  0.000
Cd  0.750  0.750  0.750
In  0.500  0.500  0.500
Hg  0.250  0.250  0.250

The electronic total energy comes out at -4.830 eV/atom. As for the space group: F-43m (216). Its energy of formation from the pure elements is -321 meV/atom. As for the total magnetization: 1.731 μB/atom. The density of states at the Fermi level comes out at 2.671 states/eV/cell.


2.
Here is a geometry-optimized TmMgAgF6 structure from Alexandria. Energies are from PBE-GGA.

Lattice parameters (Å, degrees): 5.658 5.658 10.027 90.00 90.00 120.00
Sites, in units of the cell vectors:
Tm  0.333  0.667  0.250
Tm  0.667  0.333  0.750
Mg  0.333  0.667  0.750
Mg  0.667  0.333  0.250
Ag  0.000  0.000  0.000
Ag  0.000  0.000  0.500
F  0.018  0.380  0.642
F  0.018  0.638  0.858
F  0.362  0.380  0.858
F  0.362  0.982  0.642
F  0.380  0.018  0.142
F  0.380  0.362  0.358
F  0.620  0.638  0.642
F  0.620  0.982  0.858
F  0.638  0.018  0.358
F  0.638  0.620  0.142
F  0.982  0.362  0.142
F  0.982  0.620  0.358

The electronic total energy comes out at -5.436 eV/atom. As for the space group: P-31c (163). As for the total magnetization: 0.011 μB/atom. The density of states at the Fermi level comes out at 0.000 states/eV/cell. For the uncorrected formation energy, the calculation gives -3.198 eV/atom.